1.
The following is a PBE-GGA calculation of crystalline BC at its relaxed geometry, from the Alexandria database.

Properties
* ΔE_f: 400.9 meV/atom
* DOS at the Fermi energy: 0.153 states/eV/atom

a b c (Å): 5.967 5.967 5.433
angles (deg): 105.00 105.00 26.09
Positions (direct):
1 B 0.668 0.668 0.319
2 B 0.360 0.360 0.098
3 B 0.351 0.351 0.687
4 B 0.007 0.007 0.989
5 B 0.193 0.193 0.514
6 B 0.584 0.584 0.552
7 C 0.921 0.921 0.681
8 C 0.919 0.919 0.202
9 C 0.596 0.596 0.039
10 C 0.245 0.245 0.849
11 C 0.667 0.667 0.842
12 C 0.990 0.990 0.479

***

2.
The following is a PBE-GGA calculation of crystalline BC at its relaxed geometry, from the Alexandria database.

Properties
* ΔE_f: 379.2 meV/atom
* DOS at the Fermi energy: 0.243 states/eV/atom

a b c (Å): 4.689 4.689 5.564
angles (deg): 108.16 108.16 46.61
Positions (direct):
1 C 0.995 0.993 0.481
2 C 0.912 0.420 0.073
3 C 0.602 0.089 0.422
4 C 0.578 0.065 0.911
5 C 0.673 0.672 0.852
6 C 0.246 0.755 0.261
7 B 0.330 0.336 0.167
8 B 0.943 0.054 0.044
9 B 0.370 0.297 0.667
10 B 0.943 0.371 0.633
11 B 0.612 0.723 0.289
12 B 0.295 0.724 0.701

***

3.
The following is a PBE-GGA calculation of crystalline B7C5 at its relaxed geometry, from the Alexandria database.

Properties
* ΔE_f: 398.9 meV/atom
* DOS at the Fermi energy: 0.137 states/eV/atom

a b c (Å): 6.000 6.000 5.698
angles (deg): 100.46 100.46 26.05
Positions (direct):
1 B 0.337 0.337 0.140
2 B 0.538 0.538 0.778
3 B 0.949 0.949 0.416
4 B 0.695 0.695 0.288
5 B 0.017 0.017 0.009
6 B 0.945 0.945 0.691
7 B 0.322 0.322 0.640
8 C 0.680 0.680 0.854
9 C 0.601 0.601 0.053
10 C 0.248 0.248 0.853
11 C 0.917 0.917 0.159
12 C 0.252 0.252 0.370

***

4.
The following is a PBE-GGA calculation of crystalline B7C5 at its relaxed geometry, from the Alexandria database.

Properties
* ΔE_f: 379.9 meV/atom
* DOS at the Fermi energy: 0.243 states/eV/atom

a b c (Å): 4.449 4.449 8.989
angles (deg): 121.46 121.46 33.19
Positions (direct):
1 B 0.976 0.976 0.956
2 B 0.431 0.431 0.376
3 B 0.691 0.691 0.847
4 B 0.882 0.882 0.087
5 B 0.164 0.164 0.192
6 B 0.727 0.727 0.361
7 B 0.160 0.160 0.682
8 C 0.334 0.334 0.662
9 C 0.820 0.820 0.562
10 C 0.348 0.348 0.174
11 C 0.504 0.504 0.856
12 C 0.964 0.964 0.493

***

5.
The following is a PBE-GGA calculation of crystalline B7C5 at its relaxed geometry, from the Alexandria database.

Properties
* ΔE_f: 369.8 meV/atom
* DOS at the Fermi energy: 0.161 states/eV/atom

a b c (Å): 4.924 4.494 5.390
angles (deg): 102.32 105.36 46.31
Positions (direct):
1 C 0.309 0.369 0.701
2 C 0.898 0.397 0.059
3 C 0.947 0.451 0.605
4 C 0.566 0.069 0.914
5 C 0.690 0.649 0.816
6 B 0.299 0.667 0.307
7 B 0.366 0.649 0.660
8 B 0.911 0.043 0.069
9 B 0.547 0.188 0.442
10 B 0.687 0.676 0.318
11 B 0.314 0.249 0.138
12 B 0.965 0.092 0.472

***

6.
The following is a PBE-GGA calculation of crystalline BC at its relaxed geometry, from the Alexandria database.

Properties
* ΔE_f: 367.6 meV/atom
* DOS at the Fermi energy: 0.211 states/eV/atom

a b c (Å): 2.549 2.414 12.993
angles (deg): 90.00 90.00 90.00
Positions (direct):
1 B 0.500 0.000 0.261
2 B 0.500 0.500 0.852
3 B 0.000 0.000 0.648
4 B 0.000 0.500 0.754
5 B 0.500 0.500 0.154
6 B 0.500 0.500 0.488
7 C 0.000 0.000 0.007
8 C 0.000 0.500 0.078
9 C 0.000 0.500 0.405
10 C 0.500 0.000 0.940
11 C 0.000 0.000 0.340
12 C 0.500 0.000 0.575

***

7.
The following is a PBE-GGA calculation of crystalline BC at its relaxed geometry, from the Alexandria database.

Properties
* ΔE_f: 429.2 meV/atom
* DOS at the Fermi energy: 0.070 states/eV/atom

a b c (Å): 4.930 4.956 5.453
angles (deg): 111.50 112.11 43.36
Positions (direct):
1 B 0.228 0.836 0.291
2 B 0.726 0.660 0.336
3 B 0.362 0.235 0.138
4 B 0.355 0.247 0.626
5 B 0.858 0.423 0.581
6 B 0.222 0.848 0.779
7 C 0.594 0.081 0.914
8 C 0.921 0.408 0.070
9 C 0.989 0.002 0.003
10 C 0.595 0.093 0.415
11 C 0.988 0.990 0.502
12 C 0.662 0.675 0.846

***

8.
The following is a PBE-GGA calculation of crystalline BC at its relaxed geometry, from the Alexandria database.

Properties
* ΔE_f: 381.9 meV/atom
* DOS at the Fermi energy: 0.173 states/eV/atom

a b c (Å): 2.567 4.759 6.713
angles (deg): 95.43 90.00 90.00
Positions (direct):
1 C 0.000 0.671 0.648
2 C 0.000 0.013 0.991
3 C 0.500 0.831 0.590
4 C 0.500 0.505 0.247
5 C 0.500 0.142 0.682
6 C 0.500 0.149 0.913
7 B 0.000 0.387 0.323
8 B 0.000 0.327 0.619
9 B 0.000 0.676 0.897
10 B 0.500 0.471 0.012
11 B 0.500 0.818 0.351
12 B 0.000 0.008 0.229

***

9.
The following is a PBE-GGA calculation of crystalline BC at its relaxed geometry, from the Alexandria database.

Properties
* ΔE_f: 392.6 meV/atom
* DOS at the Fermi energy: 0.082 states/eV/atom

a b c (Å): 5.745 5.745 5.577
angles (deg): 98.59 98.59 25.46
Positions (direct):
1 C 0.580 0.580 0.009
2 C 0.918 0.918 0.724
3 C 0.247 0.247 0.882
4 C 0.998 0.998 0.984
5 C 0.669 0.669 0.827
6 C 0.337 0.337 0.699
7 B 0.239 0.239 0.453
8 B 0.991 0.991 0.500
9 B 0.298 0.298 0.170
10 B 0.925 0.925 0.209
11 B 0.619 0.619 0.538
12 B 0.678 0.678 0.255

***

10.
The following is a PBE-GGA calculation of crystalline BC at its relaxed geometry, from the Alexandria database.

Properties
* ΔE_f: 355.4 meV/atom
* DOS at the Fermi energy: 0.165 states/eV/atom

a b c (Å): 2.657 2.649 11.748
angles (deg): 90.00 90.00 90.00
Positions (direct):
1 B 0.500 0.500 0.172
2 B 0.500 0.000 0.935
3 B 0.000 0.500 0.418
4 B 0.500 0.000 0.554
5 B 0.000 0.000 0.683
6 B 0.500 0.500 0.817
7 C 0.000 0.000 0.014
8 C 0.000 0.500 0.745
9 C 0.500 0.000 0.259
10 C 0.000 0.000 0.325
11 C 0.500 0.500 0.494
12 C 0.000 0.500 0.084

***

11.
The following is a PBE-GGA calculation of crystalline BC at its relaxed geometry, from the Alexandria database.

Properties
* ΔE_f: 364.9 meV/atom
* DOS at the Fermi energy: 0.156 states/eV/atom

a b c (Å): 10.426 10.426 10.426
angles (deg): 165.82 165.82 20.10
Positions (direct):
1 C 0.200 0.200 0.000
2 C 0.042 0.542 0.500
3 C 0.398 0.398 0.000
4 C 0.002 0.002 0.000
5 C 0.858 0.358 0.500
6 B 0.450 0.950 0.500
7 B 0.242 0.742 0.500
8 B 0.809 0.809 0.000
9 B 0.591 0.591 0.000
10 B 0.658 0.158 0.500

***

12.
The following is a PBE-GGA calculation of crystalline B7C5 at its relaxed geometry, from the Alexandria database.

Properties
* ΔE_f: 233.1 meV/atom
* DOS at the Fermi energy: 0.126 states/eV/atom

a b c (Å): 6.868 6.868 5.263
angles (deg): 93.05 93.05 22.88
Positions (direct):
1 B 0.533 0.533 0.741
2 B 0.958 0.958 0.334
3 B 0.365 0.365 0.302
4 B 0.708 0.708 0.143
5 B 0.873 0.873 0.575
6 B 0.212 0.212 0.730
7 B 0.047 0.047 0.125
8 C 0.303 0.303 0.555
9 C 0.253 0.253 0.245
10 C 0.588 0.588 0.034
11 C 0.989 0.989 0.643
12 C 0.672 0.672 0.824

***

13.
The following is a PBE-GGA calculation of crystalline B7C5 at its relaxed geometry, from the Alexandria database.

Properties
* ΔE_f: 527.6 meV/atom
* DOS at the Fermi energy: 0.182 states/eV/atom

a b c (Å): 2.564 2.564 14.592
angles (deg): 90.00 90.00 120.00
Positions (direct):
1 C 0.667 0.333 0.302
2 C 0.000 0.000 0.008
3 C 0.000 0.000 0.906
4 C 0.667 0.333 0.206
5 C 0.333 0.667 0.046
6 B 0.333 0.667 0.155
7 B 0.333 0.667 0.663
8 B 0.333 0.667 0.547
9 B 0.000 0.000 0.353
10 B 0.667 0.333 0.856
11 B 0.667 0.333 0.740
12 B 0.000 0.000 0.469

***

14.
The following is a PBE-GGA calculation of crystalline BC at its relaxed geometry, from the Alexandria database.

Properties
* ΔE_f: 424.0 meV/atom
* DOS at the Fermi energy: 0.233 states/eV/atom

a b c (Å): 4.725 4.725 4.747
angles (deg): 96.97 96.97 31.43
Positions (direct):
1 C 0.510 0.510 0.532
2 C 0.060 0.060 0.699
3 C 0.819 0.819 0.918
4 C 0.985 0.985 0.979
5 B 0.551 0.551 0.194
6 B 0.743 0.743 0.216
7 B 0.346 0.346 0.411
8 B 0.237 0.237 0.801

***

15.
The following is a PBE-GGA calculation of crystalline B3C2 at its relaxed geometry, from the Alexandria database.

Properties
* ΔE_f: 447.9 meV/atom
* DOS at the Fermi energy: 0.303 states/eV/atom

a b c (Å): 4.595 4.595 6.716
angles (deg): 65.39 65.39 33.64
Positions (direct):
1 B 0.400 0.400 0.330
2 B 0.784 0.784 0.777
3 B 0.811 0.811 0.021
4 B 0.179 0.179 0.226
5 B 0.644 0.644 0.583
6 B 0.404 0.404 0.771
7 C 0.998 0.998 0.230
8 C 0.577 0.577 0.862
9 C 0.201 0.201 0.452
10 C 0.001 0.001 0.999

***

16.
The following is a PBE-GGA calculation of crystalline BC at its relaxed geometry, from the Alexandria database.

Properties
* ΔE_f: 452.8 meV/atom
* DOS at the Fermi energy: 0.165 states/eV/atom

a b c (Å): 4.675 4.689 4.634
angles (deg): 96.67 101.23 122.03
Positions (direct):
1 B 0.185 0.852 0.569
2 B 0.025 0.719 0.117
3 B 0.639 0.270 0.961
4 B 0.330 0.705 0.957
5 B 0.384 0.374 0.150
6 B 0.837 0.163 0.494
7 C 0.869 0.871 0.646
8 C 0.721 0.028 0.130
9 C 0.218 0.526 0.613
10 C 0.544 0.222 0.605
11 C 0.989 0.007 0.997
12 C 0.510 0.513 0.511

***

17.
The following is a PBE-GGA calculation of crystalline BC at its relaxed geometry, from the Alexandria database.

Properties
* ΔE_f: 342.6 meV/atom
* DOS at the Fermi energy: 0.178 states/eV/atom

a b c (Å): 4.264 4.264 8.608
angles (deg): 120.11 120.11 35.94
Positions (direct):
1 C 0.655 0.655 0.342
2 C 0.823 0.823 0.028
3 C 0.010 0.010 0.014
4 C 0.833 0.833 0.532
5 C 0.001 0.001 0.510
6 C 0.178 0.178 0.700
7 B 0.516 0.516 0.912
8 B 0.476 0.476 0.375
9 B 0.357 0.357 0.667
10 B 0.317 0.317 0.130
11 B 0.180 0.180 0.240
12 B 0.654 0.654 0.802

***

18.
The following is a PBE-GGA calculation of crystalline B7C5 at its relaxed geometry, from the Alexandria database.

Properties
* ΔE_f: 359.5 meV/atom
* DOS at the Fermi energy: 0.197 states/eV/atom

a b c (Å): 4.421 4.421 8.850
angles (deg): 122.52 122.52 33.67
Positions (direct):
1 B 0.158 0.158 0.207
2 B 0.050 0.050 0.974
3 B 0.448 0.448 0.399
4 B 0.328 0.328 0.673
5 B 0.351 0.351 0.170
6 B 0.623 0.623 0.330
7 B 0.877 0.877 0.041
8 C 0.533 0.533 0.861
9 C 0.165 0.165 0.710
10 C 0.972 0.972 0.524
11 C 0.687 0.687 0.821
12 C 0.806 0.806 0.540

***

19.
The following is a PBE-GGA calculation of crystalline B3C2 at its relaxed geometry, from the Alexandria database.

Properties
* ΔE_f: 276.8 meV/atom
* DOS at the Fermi energy: 0.184 states/eV/atom

a b c (Å): 12.646 12.646 12.646
angles (deg): 12.36 12.36 12.36
Positions (direct):
1 B 0.443 0.443 0.443
2 B 0.557 0.557 0.557
3 B 0.639 0.639 0.639
4 B 0.820 0.820 0.820
5 B 0.361 0.361 0.361
6 B 0.180 0.180 0.180
7 C 0.023 0.023 0.023
8 C 0.977 0.977 0.977
9 C 0.222 0.222 0.222
10 C 0.778 0.778 0.778

***

20.
The following is a PBE-GGA calculation of crystalline B7C5 at its relaxed geometry, from the Alexandria database.

Properties
* ΔE_f: 407.2 meV/atom
* DOS at the Fermi energy: 0.090 states/eV/atom

a b c (Å): 4.681 4.519 5.417
angles (deg): 102.56 106.96 50.43
Positions (direct):
1 C 0.881 0.442 0.083
2 C 0.356 0.302 0.674
3 C 0.674 0.671 0.838
4 C 0.667 0.678 0.306
5 C 0.561 0.075 0.913
6 B 0.319 0.301 0.136
7 B 0.896 0.083 0.091
8 B 0.306 0.698 0.287
9 B 0.607 0.067 0.461
10 B 0.335 0.660 0.655
11 B 0.907 0.489 0.597
12 B 0.991 0.036 0.458

***

21.
The following is a PBE-GGA calculation of crystalline B7C5 at its relaxed geometry, from the Alexandria database.

Properties
* ΔE_f: 387.4 meV/atom
* DOS at the Fermi energy: 0.256 states/eV/atom

a b c (Å): 4.650 4.650 4.434
angles (deg): 96.28 96.28 119.17
Positions (direct):
1 C 0.974 0.982 0.958
2 C 0.690 0.023 0.066
3 C 0.897 0.891 0.601
4 C 0.558 0.231 0.601
5 C 0.649 0.307 0.958
6 B 0.511 0.540 0.509
7 B 0.207 0.845 0.509
8 B 0.339 0.323 0.056
9 B 0.750 0.084 0.433
10 B 0.329 0.663 0.816
11 B 0.990 0.672 0.056
12 B 0.355 0.689 0.188